Cd2Ni after structural relaxation, computed with PBE-GGA.

Computed properties:
E: -2.4728 eV/atom
Fermi-level density of states: 2.11 states/eV/f.u.
Theoretical density: 8.77 g/cm³
Magnetization: 0.00 μB/cell
Formation energy: 6.21 kJ per mole of atoms

Lattice parameters (Å, degrees): 5.1411 5.1411 9.8983 129.35 129.35 33.17
Closest atoms and distances in Å follow each position.
Fractional coordinates of all 6 atoms:
Cd 0.0360 0.0360 0.0046  5 Ni 2.74-2.81, 4 Cd 2.93-3.06
Cd 0.1620 0.1620 0.7997  2 Ni 2.74, 4 Cd 2.93-3.00
Cd 0.2824 0.2824 0.5892  2 Ni 2.74, 4 Cd 2.93-3.00
Cd 0.4084 0.4084 0.3843  5 Ni 2.74-2.81, 4 Cd 2.93-3.06
Ni 0.6099 0.6099 0.2810  2 Ni 2.51, 7 Cd 2.74-2.81
Ni 0.8345 0.8345 0.1079  2 Ni 2.51, 7 Cd 2.74-2.81